(1)
VASP calculation (PBE) on Ta2Al2Au after structural relaxation.

Properties
- calculated density (g/cm³) = 12.1
- density of states at the Fermi level (states/eV/atom) = 0.506
- E_tot (eV per atom) = -6.989
- DFT formation energy (eV/f.u.) = -0.475
- total magnetization (μB/cell) = 0.00

Lattice parameters (Å, degrees): 6.5083 6.5083 3.9829 90.00 90.00 90.00
Space group P4/mbm (No. 127)
Asymmetric unit:
Ta: 0.1635 0.3365 0.0000 [4 per cell]
Al: 0.1344 0.6344 0.5000 [4 per cell]
Au: 0.0000 0.0000 0.5000 [2 per cell]

(2)
VASP calculation (PBE) on TaAl2Au after structural relaxation.

Properties
- calculated density (g/cm³) = 10.5
- density of states at the Fermi level (states/eV/atom) = 0.561
- E_tot (eV per atom) = -5.819
- DFT formation energy (eV/f.u.) = -0.662
- total magnetization (μB/cell) = 0.00

Lattice parameters (Å, degrees): 2.8839 4.4963 5.2900 90.00 90.07 90.00
Space group Pm (No. 6)
Asymmetric unit:
Ta: 0.0000 0.0000 0.0000 [1 per cell]
Al: 0.4988 0.0000 0.4775 [1 per cell]
Al: 0.5012 0.5000 0.2093 [1 per cell]
Au: 0.4991 0.5000 0.7234 [1 per cell]

(3)
VASP calculation (PBE) on TaAl2Au after structural relaxation.

Properties
- calculated density (g/cm³) = 10.8
- density of states at the Fermi level (states/eV/atom) = 0.426
- E_tot (eV per atom) = -5.908
- DFT formation energy (eV/f.u.) = -1.018
- total magnetization (μB/cell) = 0.00

Lattice parameters (Å, degrees): 2.9008 2.9008 7.8899 90.00 90.00 90.00
Space group P4/mmm (No. 123)
Asymmetric unit:
Ta: 0.0000 0.0000 0.0000 [1 per cell]
Al: 0.5000 0.5000 0.2534 [2 per cell]
Au: 0.0000 0.0000 0.5000 [1 per cell]

(4)
VASP calculation (PBE) on Ta2AlAu after structural relaxation.

Properties
- calculated density (g/cm³) = 13.9
- density of states at the Fermi level (states/eV/atom) = 1.514
- E_tot (eV per atom) = -7.505
- DFT formation energy (eV/f.u.) = 0.705
- total magnetization (μB/cell) = 0.00

Lattice parameters (Å, degrees): 6.5466 6.5466 6.5466 90.00 90.00 90.00
Space group F-43m (No. 216)
Asymmetric unit:
Ta: 0.0000 0.0000 0.0000 [4 per cell]
Ta: 0.2500 0.2500 0.2500 [4 per cell]
Al: 0.0000 0.0000 0.5000 [4 per cell]
Au: 0.2500 0.2500 0.7500 [4 per cell]

(5)
VASP calculation (PBE) on TaAl2Au after structural relaxation.

Properties
- calculated density (g/cm³) = 9.9
- density of states at the Fermi level (states/eV/atom) = 0.452
- E_tot (eV per atom) = -5.497
- DFT formation energy (eV/f.u.) = 0.628
- total magnetization (μB/cell) = 0.00

Lattice parameters (Å, degrees): 7.1482 7.1482 5.6947 90.00 90.00 90.00
Space group I-42d (No. 122)
Asymmetric unit:
Ta: 0.0000 0.0000 0.0000 [4 per cell]
Al: 0.2243 0.2500 0.6250 [8 per cell]
Au: 0.0000 0.0000 0.5000 [4 per cell]

(6)
VASP calculation (PBE) on TaAl2Au after structural relaxation.

Properties
- calculated density (g/cm³) = 10.8
- density of states at the Fermi level (states/eV/atom) = 0.763
- E_tot (eV per atom) = -5.859
- DFT formation energy (eV/f.u.) = -0.823
- total magnetization (μB/cell) = 0.00

Lattice parameters (Å, degrees): 3.8381 3.8381 8.9971 90.00 90.00 90.00
Space group I-4m2 (No. 119)
Asymmetric unit:
Ta: 0.0000 0.0000 0.0000 [2 per cell]
Al: 0.0000 0.0000 0.5000 [2 per cell]
Al: 0.0000 0.5000 0.2500 [2 per cell]
Au: 0.0000 0.5000 0.7500 [2 per cell]